[1]
The following is a DFT calculation (PBE) of a geometry-optimized Ho2VGa5 structure.

energy relative to the elements: -0.366 eV/atom
VASP energy: -4.54 eV/atom

a = 5.851 Å, b = 5.851 Å, c = 5.851 Å
α = 114.06°, β = 114.06°, γ = 100.64°
Sites, in units of the cell vectors:
Ho  0.000  0.500  0.500
Ho  0.500  0.000  0.500
V  0.381  0.381  0.000
Ga  0.032  0.032  0.000
Ga  0.537  0.537  0.580
Ga  0.537  0.957  0.000
Ga  0.957  0.537  0.000
Ga  0.957  0.957  0.420

---

[2]
The following is a DFT calculation (PBE) of a geometry-optimized TcHgGe2 structure.

energy relative to the elements: 0.484 eV/atom
VASP energy: -4.49 eV/atom

a = 9.056 Å, b = 9.056 Å, c = 9.056 Å
α = 152.61°, β = 152.61°, γ = 39.13°
Sites, in units of the cell vectors:
Tc  0.000  0.000  0.000
Tc  0.750  0.250  0.500
Hg  0.250  0.750  0.500
Hg  0.500  0.500  0.000
Ge  0.062  0.625  0.937
Ge  0.375  0.312  0.437
Ge  0.688  0.125  0.063
Ge  0.875  0.938  0.563